(1)
VASP calculation (PBE) on an optimized crystal structure of BeReAg2.

Cell lengths 4.380, 4.380, 4.380 Å; angles 60.00, 60.00, 60.00 degrees
Last column: magnetic moment on the atom in μB.
Fractional coordinates of all 4 atoms:
Re: 0.250 0.250 0.250  1.68
Ag: 0.750 0.750 0.750  0.03
Ag: 0.000 0.000 0.000  0.11
Be: 0.500 0.500 0.500  -0.01

Values from the calculation:
Density in Mg/m³: 11.485
E_tot in eV/atom: -4.62
Space-group type: No. 216
Size of the total moment in μB/atom: 0.4720

***

(2)
VASP calculation (PBE) on an optimized crystal structure of Ta2HgMo.

Cell lengths 4.668, 4.668, 4.668 Å; angles 60.00, 60.00, 60.00 degrees
Fractional coordinates of all 4 atoms:
Ta: 0.250 0.250 0.250
Ta: 0.000 0.000 0.000
Hg: 0.750 0.750 0.750
Mo: 0.500 0.500 0.500

Values from the calculation:
Density in Mg/m³: 15.204
Energy of formation in kJ/mol of atoms: 40
Space-group type: No. 216
Size of the total moment in μB/atom: 0.0005

***

(3)
VASP calculation (PBE) on an optimized crystal structure of CsNaAu.

Cell lengths 5.820, 5.820, 5.820 Å; angles 60.00, 60.00, 60.00 degrees
Fractional coordinates of all 3 atoms:
Na: 0.750 0.750 0.750
Cs: 0.000 0.000 0.000
Au: 0.250 0.250 0.250

Values from the calculation:
Density in Mg/m³: 4.204
Relative energy among the computed polymorphs in eV/atom: 0.2653
Space-group type: No. 216

***

(4)
VASP calculation (PBE) on an optimized crystal structure of GdPdNO.

Cell lengths 7.242, 4.161, 4.161 Å; angles 90.00, 90.00, 90.00 degrees
Fractional coordinates of all 8 atoms:
N: 0.552 0.250 0.750
Gd: 0.135 0.750 0.250
O: 0.000 0.750 0.750
N: 0.448 0.750 0.250
Gd: 0.865 0.250 0.750
O: 0.000 0.250 0.250
Pd: 0.500 0.750 0.750
Pd: 0.500 0.250 0.250

Values from the calculation:
Density in Mg/m³: 7.780
Relative energy among the computed polymorphs in eV/atom: 0.0000
Space-group type: No. 129
Size of the total moment in μB/atom: 0.0003